Compound: Y2GeBRh
Source: Alexandria
Functional: PBE
Structure: optimized geometry

- crystal system = tetragonal
- M_tot (μB per atom) = 0.000
- formation energy from the elements (eV/atom) = 0.638

Cell and atoms, written as CIF:
```
data_Y2GeBRh
_space_group_name_H-M_alt 'P 4/m m m'
_space_group_IT_number 123
_space_group_name_Hall '-P 4 2'
_cell_length_a 5.342
_cell_length_b 5.342
_cell_length_c 4.460
_cell_angle_alpha 90.00
_cell_angle_beta 90.00
_cell_angle_gamma 90.00
loop_
_atom_site_label
_atom_site_type_symbol
_atom_site_fract_x
_atom_site_fract_y
_atom_site_fract_z
_atom_site_occupancy
Y1 Y 0.000 0.500 0.000 1
Ge1 Ge 0.000 0.000 0.000 1
B1 B 0.500 0.500 0.500 1
Rh1 Rh 0.000 0.000 0.500 1
```


Compound: Zn2GeBRh
Source: Alexandria
Functional: PBE
Structure: optimized geometry

- crystal system = tetragonal
- M_tot (μB per atom) = 0.000
- formation energy from the elements (eV/atom) = 1.309

Cell and atoms, written as CIF:
```
data_Zn2GeBRh
_space_group_name_H-M_alt 'P 4/m m m'
_space_group_IT_number 123
_space_group_name_Hall '-P 4 2'
_cell_length_a 4.646
_cell_length_b 4.646
_cell_length_c 4.634
_cell_angle_alpha 90.00
_cell_angle_beta 90.00
_cell_angle_gamma 90.00
loop_
_atom_site_label
_atom_site_type_symbol
_atom_site_fract_x
_atom_site_fract_y
_atom_site_fract_z
_atom_site_occupancy
Zn1 Zn 0.000 0.500 0.000 1
Ge1 Ge 0.000 0.000 0.000 1
B1 B 0.500 0.500 0.500 1
Rh1 Rh 0.000 0.000 0.500 1
```